# 1
The following is a PBE calculation of a relaxed structure of Sm3Tm8Sc2, from the Alexandria database.

## Properties
Energy above the lowest structure with this stoichiometry, meV/atom: 0.0
Formation energy, kJ per mole of atoms: 24.1

a b c (Å): 8.523 8.523 6.708
angles (deg): 106.20 106.20 63.77
Element x y z (fractional)
1 Sm 0.000 0.000 0.000
2 Sm 0.174 0.826 0.500
3 Sm 0.826 0.174 0.500
4 Tm 0.193 0.193 0.898
5 Tm 0.199 0.560 0.811
6 Tm 0.411 0.411 0.272
7 Tm 0.440 0.801 0.189
8 Tm 0.560 0.199 0.811
9 Tm 0.589 0.589 0.728
10 Tm 0.801 0.440 0.189
11 Tm 0.807 0.807 0.102
12 Sc 0.209 0.209 0.424
13 Sc 0.791 0.791 0.576

***

# 2
The following is a PBE calculation of a relaxed structure of SmTm2Sc, from the Alexandria database.

## Properties
Energy above the lowest structure with this stoichiometry, meV/atom: 18.0
Formation energy, kJ per mole of atoms: 4.3

a b c (Å): 4.880 4.880 4.945
angles (deg): 90.00 90.00 90.00
Element x y z (fractional)
1 Sm 0.000 0.000 0.000
2 Tm 0.000 0.500 0.500
3 Tm 0.500 0.000 0.500
4 Sc 0.500 0.500 0.000

***

# 3
The following is a PBE calculation of a relaxed structure of SmTm6Sc3, from the Alexandria database.

## Properties
Energy above the lowest structure with this stoichiometry, meV/atom: 0.0
Formation energy, kJ per mole of atoms: 4.2

a b c (Å): 3.471 12.553 14.218
angles (deg): 109.47 96.98 90.01
Element x y z (fractional)
1 Sm 0.203 0.286 0.405
2 Sm 0.797 0.714 0.595
3 Tm 0.008 0.373 0.015
4 Tm 0.189 0.546 0.380
5 Tm 0.302 0.216 0.603
6 Tm 0.305 0.959 0.611
7 Tm 0.396 0.676 0.792
8 Tm 0.489 0.125 0.979
9 Tm 0.511 0.875 0.021
10 Tm 0.604 0.324 0.208
11 Tm 0.695 0.041 0.389
12 Tm 0.698 0.784 0.397
13 Tm 0.811 0.454 0.620
14 Tm 0.992 0.627 0.985
15 Sc 0.092 0.082 0.183
16 Sc 0.106 0.827 0.211
17 Sc 0.409 0.412 0.818
18 Sc 0.591 0.588 0.182
19 Sc 0.894 0.173 0.789
20 Sc 0.908 0.918 0.817

***

# 4
The following is a PBE calculation of a relaxed structure of SmTm2Sc, from the Alexandria database.

## Properties
Energy above the lowest structure with this stoichiometry, meV/atom: 18.5
Formation energy, kJ per mole of atoms: 4.4

a b c (Å): 6.931 6.931 5.999
angles (deg): 106.62 106.62 59.85
Element x y z (fractional)
1 Sm 0.127 0.873 0.750
2 Sm 0.873 0.127 0.250
3 Tm 0.127 0.376 0.755
4 Tm 0.376 0.127 0.255
5 Tm 0.624 0.873 0.745
6 Tm 0.873 0.624 0.245
7 Sc 0.377 0.623 0.250
8 Sc 0.623 0.377 0.750

***

# 5
The following is a PBE calculation of a relaxed structure of Sm6Tm2Sc3, from the Alexandria database.

## Properties
Formation energy, kJ per mole of atoms: 8.7

a b c (Å): 5.897 8.310 8.360
angles (deg): 106.40 107.46 108.21
Element x y z (fractional)
1 Sm 0.047 0.319 0.360
2 Sm 0.083 0.146 0.711
3 Sm 0.343 0.952 0.120
4 Sm 0.657 0.048 0.880
5 Sm 0.917 0.854 0.289
6 Sm 0.953 0.681 0.640
7 Tm 0.485 0.595 0.834
8 Tm 0.515 0.405 0.166
9 Sc 0.000 0.500 0.000
10 Sc 0.433 0.767 0.439
11 Sc 0.567 0.233 0.561

***

# 6
The following is a PBE calculation of a relaxed structure of Sm2Tm3Sc, from the Alexandria database.

## Properties
Energy above the lowest structure with this stoichiometry, meV/atom: 108.1
Formation energy, kJ per mole of atoms: 14.1

a b c (Å): 8.877 8.877 13.959
angles (deg): 116.85 116.85 22.24
Element x y z (fractional)
1 Sm 0.154 0.154 0.469
2 Sm 0.321 0.321 0.123
3 Sm 0.679 0.679 0.877
4 Sm 0.846 0.846 0.531
5 Tm 0.099 0.099 0.027
6 Tm 0.239 0.239 0.294
7 Tm 0.462 0.462 0.788
8 Tm 0.538 0.538 0.212
9 Tm 0.761 0.761 0.706
10 Tm 0.901 0.901 0.973
11 Sc 0.063 0.063 0.640
12 Sc 0.937 0.937 0.360

***

# 7
The following is a PBE calculation of a relaxed structure of Sm5Tm6Sc, from the Alexandria database.

## Properties
Formation energy, kJ per mole of atoms: 3.1

a b c (Å): 9.339 9.339 9.339
angles (deg): 148.99 115.64 73.16
Element x y z (fractional)
1 Sm 0.000 0.000 0.000
2 Sm 0.166 0.666 0.500
3 Sm 0.337 0.337 0.000
4 Sm 0.663 0.663 0.000
5 Sm 0.834 0.334 0.500
6 Tm 0.087 0.835 0.252
7 Tm 0.254 0.500 0.754
8 Tm 0.418 0.165 0.252
9 Tm 0.582 0.835 0.748
10 Tm 0.746 0.500 0.246
11 Tm 0.913 0.165 0.748
12 Sc 0.500 0.000 0.500

***

# 8
The following is a PBE calculation of a relaxed structure of Sm2TmSc2, from the Alexandria database.

## Properties
Energy above the lowest structure with this stoichiometry, meV/atom: 28.2
Formation energy, kJ per mole of atoms: 15.4

a b c (Å): 8.970 8.970 5.606
angles (deg): 108.18 108.18 120.85
Element x y z (fractional)
1 Sm 0.187 0.312 0.000
2 Sm 0.312 0.187 0.500
3 Sm 0.688 0.813 0.500
4 Sm 0.813 0.688 0.000
5 Tm 0.146 0.854 0.750
6 Tm 0.854 0.146 0.250
7 Sc 0.254 0.746 0.250
8 Sc 0.367 0.633 0.750
9 Sc 0.633 0.367 0.250
10 Sc 0.746 0.254 0.750

***

# 9
The following is a PBE calculation of a relaxed structure of Sm7Tm12Sc, from the Alexandria database.

## Properties
Energy above the lowest structure with this stoichiometry, meV/atom: 480.3
Formation energy, kJ per mole of atoms: 69.4

a b c (Å): 9.651 9.651 9.651
angles (deg): 109.47 109.47 109.47
Element x y z (fractional)
1 Sm 0.000 0.000 0.500
2 Sm 0.000 0.500 0.000
3 Sm 0.000 0.500 0.500
4 Sm 0.500 0.000 0.000
5 Sm 0.500 0.000 0.500
6 Sm 0.500 0.500 0.000
7 Sm 0.500 0.500 0.500
8 Tm 0.000 0.240 0.760
9 Tm 0.000 0.760 0.240
10 Tm 0.240 0.000 0.760
11 Tm 0.240 0.240 0.481
12 Tm 0.240 0.481 0.240
13 Tm 0.240 0.760 0.000
14 Tm 0.481 0.240 0.240
15 Tm 0.519 0.760 0.760
16 Tm 0.760 0.000 0.240
17 Tm 0.760 0.240 0.000
18 Tm 0.760 0.519 0.760
19 Tm 0.760 0.760 0.519
20 Sc 0.000 0.000 0.000

***

# 10
The following is a PBE calculation of a relaxed structure of Sm4Tm10Sc, from the Alexandria database.

## Properties
Formation energy, kJ per mole of atoms: 26.1

a b c (Å): 8.785 8.785 8.785
angles (deg): 101.02 101.02 128.15
Element x y z (fractional)
1 Sm 0.230 0.230 0.460
2 Sm 0.230 0.770 0.999
3 Sm 0.770 0.230 0.001
4 Sm 0.770 0.770 0.540
5 Tm 0.081 0.289 0.793
6 Tm 0.250 0.750 0.500
7 Tm 0.289 0.081 0.792
8 Tm 0.289 0.496 0.208
9 Tm 0.496 0.289 0.207
10 Tm 0.504 0.711 0.793
11 Tm 0.711 0.504 0.792
12 Tm 0.711 0.919 0.208
13 Tm 0.750 0.250 0.500
14 Tm 0.919 0.711 0.207
15 Sc 0.000 0.000 0.000

***

# 11
The following is a PBE calculation of a relaxed structure of Sm2TmSc2, from the Alexandria database.

## Properties
Energy above the lowest structure with this stoichiometry, meV/atom: 0.0
Formation energy, kJ per mole of atoms: 12.7

a b c (Å): 9.150 9.150 9.150
angles (deg): 145.22 136.58 56.79
Element x y z (fractional)
1 Sm 0.251 0.001 0.250
2 Sm 0.376 0.626 0.750
3 Sm 0.624 0.374 0.250
4 Sm 0.749 0.999 0.750
5 Tm 0.124 0.374 0.750
6 Tm 0.876 0.626 0.250
7 Sc 0.189 0.193 0.996
8 Sc 0.303 0.807 0.496
9 Sc 0.697 0.193 0.504
10 Sc 0.811 0.807 0.004

***

# 12
The following is a PBE calculation of a relaxed structure of SmTm2Sc, from the Alexandria database.

## Properties
Energy above the lowest structure with this stoichiometry, meV/atom: 121.0
Formation energy, kJ per mole of atoms: 14.2

a b c (Å): 5.528 5.528 5.528
angles (deg): 60.00 60.00 60.00
Element x y z (fractional)
1 Sm 0.000 0.000 0.000
2 Tm 0.250 0.250 0.250
3 Tm 0.750 0.750 0.750
4 Sc 0.500 0.500 0.500

***

- The highest formation energy belongs to which entry?
  Sm7Tm12Sc

***

- What is the formation energy in the tenth record?
  26.1 kJ per mole of atoms

***

- Among the records above, which one has the lowest formation energy?
  Sm5Tm6Sc

***

- What is the formation energy in the second record?
  4.3 kJ per mole of atoms